Entry 1:
First-principles (PBE-GGA) data for a relaxed Ac2Cu3Ni crystal, as listed in Alexandria via LeMat-Bulk.

Output
V ... 133.7 Å³/f.u.
Polymorph energy (0 for the lowest one) ... 0.8 kJ per mole of atoms
Fermi-level density of states ... 4.6 states/eV/f.u.
DFT formation energy ... -217 meV per atom
Calculated density ... 8.74 g cm⁻³
M_tot ... 0.0 μB per cell

abc: 6.002 6.002 8.496
angles: 109.34 109.34 93.58
Fractional positions:
Ac 0.250 0.750 0.500
Ac 0.746 0.746 0.000
Ac 0.750 0.250 0.500
Ac 0.254 0.254 0.000
Cu 0.336 0.833 0.169
Cu 0.167 0.664 0.831
Cu 0.664 0.167 0.831
Cu 0.833 0.336 0.169
Cu 0.168 0.168 0.336
Cu 0.832 0.832 0.664
Ni 0.665 0.665 0.330
Ni 0.335 0.335 0.670


Entry 2:
First-principles (PBE-GGA) data for a relaxed AcCu2Ni crystal, as listed in Alexandria via LeMat-Bulk.

Output
V ... 77.3 Å³/f.u.
Polymorph energy (0 for the lowest one) ... 2.5 kJ per mole of atoms
Fermi-level density of states ... 2.0 states/eV/f.u.
DFT formation energy ... -160 meV per atom
Calculated density ... 8.86 g cm⁻³
M_tot ... 0.0 μB per cell

abc: 4.123 4.102 9.371
angles: 102.64 90.00 90.00
Fractional positions:
Ac 0.250 0.888 0.776
Ac 0.750 0.112 0.224
Cu 0.250 0.250 0.500
Cu 0.750 0.750 0.500
Cu 0.750 0.462 0.923
Cu 0.250 0.538 0.077
Ni 0.750 0.327 0.653
Ni 0.250 0.673 0.347


Entry 3:
First-principles (PBE-GGA) data for a relaxed Ac3Cu2Ni4 crystal, as listed in Alexandria via LeMat-Bulk.

Output
V ... 193.3 Å³/f.u.
Fermi-level density of states ... 7.3 states/eV/f.u.
DFT formation energy ... -246 meV per atom
Calculated density ... 8.96 g cm⁻³
M_tot ... 0.0 μB per cell

abc: 4.236 5.933 8.420
angles: 101.23 90.00 110.91
Fractional positions:
Ac 0.664 0.328 0.669
Ac 0.000 0.000 0.000
Ac 0.336 0.672 0.331
Cu 0.614 0.229 0.278
Cu 0.386 0.771 0.722
Ni 0.723 0.446 0.050
Ni 0.277 0.554 0.950
Ni 0.943 0.886 0.607
Ni 0.057 0.114 0.393


Entry 4:
First-principles (PBE-GGA) data for a relaxed Ac3Cu9Ni2 crystal, as listed in Alexandria via LeMat-Bulk.

Output
V ... 254.2 Å³/f.u.
Fermi-level density of states ... 5.7 states/eV/f.u.
DFT formation energy ... -122 meV per atom
Calculated density ... 8.95 g cm⁻³
M_tot ... 0.0 μB per cell

abc: 4.227 8.148 8.148
angles: 73.15 74.97 74.97
Fractional positions:
Ac 0.000 0.000 0.000
Ac 0.688 0.312 0.312
Ac 0.312 0.688 0.688
Cu 0.000 0.500 0.500
Cu 0.685 0.994 0.636
Cu 0.315 0.006 0.364
Cu 0.685 0.636 0.994
Cu 0.315 0.364 0.006
Cu 0.893 0.828 0.386
Cu 0.107 0.172 0.614
Cu 0.893 0.386 0.828
Cu 0.107 0.614 0.172
Ni 0.500 0.290 0.710
Ni 0.500 0.710 0.290


Entry 5:
First-principles (PBE-GGA) data for a relaxed Ac2Cu2Ni3 crystal, as listed in Alexandria via LeMat-Bulk.

Output
V ... 142.4 Å³/f.u.
Fermi-level density of states ... 4.6 states/eV/f.u.
DFT formation energy ... -213 meV per atom
Calculated density ... 8.83 g cm⁻³
M_tot ... 0.0 μB per cell

abc: 4.135 5.766 6.576
angles: 102.47 90.00 111.01
Fractional positions:
Ac 0.832 0.664 0.286
Ac 0.168 0.336 0.714
Cu 0.908 0.816 0.825
Cu 0.092 0.184 0.175
Ni 0.500 0.000 0.000
Ni 0.558 0.116 0.368
Ni 0.442 0.884 0.632


Entry 6:
First-principles (PBE-GGA) data for a relaxed Ac2Cu5Ni12 crystal, as listed in Alexandria via LeMat-Bulk.

Output
V ... 261.1 Å³/f.u.
Fermi-level density of states ... 25.8 states/eV/f.u.
DFT formation energy ... -103 meV per atom
Calculated density ... 9.39 g cm⁻³
M_tot ... 2.1 μB per cell

abc: 6.434 6.434 6.434
angles: 83.17 83.17 83.17
Fractional positions:
Ac 0.657 0.657 0.657
Ac 0.343 0.343 0.343
Cu 0.000 0.000 0.500
Cu 0.000 0.500 0.000
Cu 0.500 0.000 0.000
Cu 0.904 0.904 0.904
Cu 0.096 0.096 0.096
Ni 0.285 0.715 0.000
Ni 0.715 0.000 0.285
Ni 0.000 0.285 0.715
Ni 0.715 0.285 0.000
Ni 0.285 0.000 0.715
Ni 0.000 0.715 0.285
Ni 0.342 0.342 0.845
Ni 0.342 0.845 0.342
Ni 0.845 0.342 0.342
Ni 0.658 0.155 0.658
Ni 0.658 0.658 0.155
Ni 0.155 0.658 0.658


Entry 7:
First-principles (PBE-GGA) data for a relaxed Ac8CuNi2 crystal, as listed in Alexandria via LeMat-Bulk.

Output
V ... 391.3 Å³/f.u.
Fermi-level density of states ... 14.0 states/eV/f.u.
DFT formation energy ... 10 meV per atom
Calculated density ... 8.47 g cm⁻³
M_tot ... 0.0 μB per cell

abc: 6.731 8.197 8.197
angles: 114.97 99.24 99.24
Fractional positions:
Ac 0.582 0.355 0.088
Ac 0.582 0.088 0.355
Ac 0.174 0.365 0.365
Ac 0.976 0.204 0.786
Ac 0.976 0.786 0.204
Ac 0.794 0.640 0.640
Ac 0.364 0.917 0.648
Ac 0.364 0.648 0.917
Cu 0.199 0.011 0.011
Ni 0.495 0.707 0.312
Ni 0.495 0.312 0.707


Entry 8:
First-principles (PBE-GGA) data for a relaxed AcCuNi3 crystal, as listed in Alexandria via LeMat-Bulk.

Output
V ... 86.3 Å³/f.u.
Polymorph energy (0 for the lowest one) ... 0.0 kJ per mole of atoms
Fermi-level density of states ... 4.5 states/eV/f.u.
DFT formation energy ... -190 meV per atom
Calculated density ... 8.98 g cm⁻³
M_tot ... 0.0 μB per cell

abc: 4.865 8.404 6.435
angles: 130.77 112.21 90.00
Fractional positions:
Ac 0.250 0.297 0.500
Ac 0.750 0.703 0.500
Cu 0.000 0.500 0.000
Cu 0.500 0.000 0.000
Ni 0.733 0.233 0.966
Ni 0.233 0.233 0.966
Ni 0.767 0.767 0.034
Ni 0.267 0.767 0.034
Ni 0.250 0.929 0.500
Ni 0.750 0.071 0.500


Entry 9:
First-principles (PBE-GGA) data for a relaxed Ac2Cu5Ni3 crystal, as listed in Alexandria via LeMat-Bulk.

Output
V ... 174.5 Å³/f.u.
Fermi-level density of states ... 4.8 states/eV/f.u.
DFT formation energy ... -119 meV per atom
Calculated density ... 9.02 g cm⁻³
M_tot ... 0.0 μB per cell

abc: 5.684 8.382 8.382
angles: 91.71 70.23 70.23
Fractional positions:
Ac 0.234 0.890 0.643
Ac 0.266 0.357 0.110
Ac 0.766 0.110 0.357
Ac 0.734 0.643 0.890
Cu 0.394 0.968 0.244
Cu 0.106 0.756 0.032
Cu 0.606 0.032 0.756
Cu 0.894 0.244 0.968
Cu 0.250 0.285 0.715
Cu 0.750 0.715 0.285
Cu 0.250 0.500 0.500
Cu 0.750 0.500 0.500
Cu 0.250 0.715 0.285
Cu 0.750 0.285 0.715
Ni 0.155 0.231 0.461
Ni 0.345 0.539 0.769
Ni 0.845 0.769 0.539
Ni 0.655 0.461 0.231
Ni 0.250 0.000 0.000
Ni 0.750 0.000 0.000


Entry 10:
First-principles (PBE-GGA) data for a relaxed Ac2Cu9Ni6 crystal, as listed in Alexandria via LeMat-Bulk.

Output
V ... 268.5 Å³/f.u.
Fermi-level density of states ... 11.8 states/eV/f.u.
DFT formation energy ... 27 meV per atom
Calculated density ... 8.52 g cm⁻³
M_tot ... 0.5 μB per cell

abc: 5.070 5.070 12.061
angles: 90.00 90.00 120.00
Fractional positions:
Ac 0.000 0.000 0.681
Ac 0.000 0.000 0.319
Cu 0.500 0.000 0.840
Cu 0.000 0.500 0.840
Cu 0.500 0.500 0.840
Cu 0.500 0.000 0.160
Cu 0.000 0.500 0.160
Cu 0.500 0.500 0.160
Cu 0.500 0.000 0.500
Cu 0.000 0.500 0.500
Cu 0.500 0.500 0.500
Ni 0.333 0.667 0.000
Ni 0.667 0.333 0.000
Ni 0.333 0.667 0.669
Ni 0.667 0.333 0.669
Ni 0.667 0.333 0.331
Ni 0.333 0.667 0.331


Entry 11:
First-principles (PBE-GGA) data for a relaxed AcCu6Ni6 crystal, as listed in Alexandria via LeMat-Bulk.

Output
V ... 173.6 Å³/f.u.
Fermi-level density of states ... 9.0 states/eV/f.u.
DFT formation energy ... -71 meV per atom
Calculated density ... 9.19 g cm⁻³
M_tot ... 0.0 μB per cell

abc: 4.809 6.471 6.471
angles: 82.05 68.19 68.19
Fractional positions:
Ac 0.000 0.000 0.000
Cu 0.358 0.642 0.642
Cu 0.642 0.358 0.358
Cu 0.000 0.354 0.646
Cu 0.000 0.646 0.354
Cu 0.266 0.234 0.234
Cu 0.734 0.766 0.766
Ni 0.000 0.500 0.000
Ni 0.500 0.500 0.000
Ni 0.000 0.000 0.500
Ni 0.500 0.000 0.500
Ni 0.500 0.764 0.236
Ni 0.500 0.236 0.764


Entry 12:
First-principles (PBE-GGA) data for a relaxed Ac2Cu3Ni crystal, as listed in Alexandria via LeMat-Bulk.

Output
V ... 133.9 Å³/f.u.
Polymorph energy (0 for the lowest one) ... 0.0 kJ per mole of atoms
Fermi-level density of states ... 3.6 states/eV/f.u.
DFT formation energy ... -225 meV per atom
Calculated density ... 8.72 g cm⁻³
M_tot ... 0.0 μB per cell

abc: 4.138 4.317 7.494
angles: 90.00 90.00 90.00
Fractional positions:
Ac 0.000 0.500 0.009
Ac 0.000 0.000 0.493
Cu 0.500 0.000 0.834
Cu 0.500 0.000 0.169
Cu 0.500 0.500 0.663
Ni 0.500 0.500 0.332


Entry 13:
First-principles (PBE-GGA) data for a relaxed AcCuNi crystal, as listed in Alexandria via LeMat-Bulk.

Output
V ... 65.5 Å³/f.u.
Polymorph energy (0 for the lowest one) ... 1.1 kJ per mole of atoms
Fermi-level density of states ... 1.9 states/eV/f.u.
DFT formation energy ... -239 meV per atom
Calculated density ... 8.86 g cm⁻³
M_tot ... 0.0 μB per cell

abc: 4.267 5.953 5.953
angles: 76.91 69.00 69.00
Fractional positions:
Ac 0.748 0.752 0.752
Ac 0.252 0.248 0.248
Cu 0.500 0.670 0.330
Cu 0.500 0.330 0.670
Ni 0.000 0.838 0.162
Ni 0.000 0.162 0.838


Entry 14:
First-principles (PBE-GGA) data for a relaxed AcCuNi crystal, as listed in Alexandria via LeMat-Bulk.

Output
V ... 65.4 Å³/f.u.
Polymorph energy (0 for the lowest one) ... 0.0 kJ per mole of atoms
Fermi-level density of states ... 1.8 states/eV/f.u.
DFT formation energy ... -251 meV per atom
Calculated density ... 8.86 g cm⁻³
M_tot ... 0.0 μB per cell

abc: 4.167 4.208 8.025
angles: 105.20 104.96 90.00
Fractional positions:
Ac 0.631 0.882 0.763
Ac 0.369 0.118 0.237
Cu 0.044 0.295 0.589
Cu 0.956 0.705 0.411
Ni 0.210 0.460 0.919
Ni 0.790 0.540 0.081


Entry 15:
First-principles (PBE-GGA) data for a relaxed Ac3Cu3Ni2 crystal, as listed in Alexandria via LeMat-Bulk.

Output
V ... 187.5 Å³/f.u.
Fermi-level density of states ... 5.3 states/eV/f.u.
DFT formation energy ... -226 meV per atom
Calculated density ... 8.76 g cm⁻³
M_tot ... 0.0 μB per cell

abc: 4.205 5.936 16.066
angles: 90.00 90.00 110.75
Fractional positions:
Ac 0.860 0.720 0.412
Ac 0.140 0.280 0.912
Ac 0.860 0.720 0.088
Ac 0.140 0.280 0.588
Ac 0.582 0.165 0.250
Ac 0.418 0.835 0.750
Cu 0.579 0.158 0.445
Cu 0.421 0.842 0.945
Cu 0.579 0.158 0.055
Cu 0.421 0.842 0.555
Cu 0.289 0.578 0.250
Cu 0.711 0.422 0.750
Ni 0.840 0.680 0.881
Ni 0.160 0.320 0.381
Ni 0.840 0.680 0.619
Ni 0.160 0.320 0.119


Entry 16:
First-principles (PBE-GGA) data for a relaxed Ac3Cu2Ni9 crystal, as listed in Alexandria via LeMat-Bulk.

Output
V ... 242.2 Å³/f.u.
Fermi-level density of states ... 14.9 states/eV/f.u.
DFT formation energy ... -165 meV per atom
Calculated density ... 9.16 g cm⁻³
M_tot ... 0.0 μB per cell

abc: 4.106 8.057 8.057
angles: 73.42 75.24 75.24
Fractional positions:
Ac 0.000 0.000 0.000
Ac 0.687 0.313 0.313
Ac 0.313 0.687 0.687
Cu 0.500 0.274 0.726
Cu 0.500 0.726 0.274
Ni 0.000 0.500 0.500
Ni 0.698 0.005 0.599
Ni 0.302 0.995 0.401
Ni 0.698 0.599 0.005
Ni 0.302 0.401 0.995
Ni 0.895 0.832 0.378
Ni 0.105 0.168 0.622
Ni 0.895 0.378 0.832
Ni 0.105 0.622 0.168


Entry 17:
First-principles (PBE-GGA) data for a relaxed AcCu11Ni crystal, as listed in Alexandria via LeMat-Bulk.

Output
V ... 182.3 Å³/f.u.
Fermi-level density of states ... 4.3 states/eV/f.u.
DFT formation energy ... -59 meV per atom
Calculated density ... 8.97 g cm⁻³
M_tot ... 0.0 μB per cell

abc: 4.884 6.607 6.631
angles: 81.54 68.39 66.44
Fractional positions:
Ac 0.000 0.000 0.000
Cu 0.257 0.239 0.239
Cu 0.743 0.761 0.761
Cu 0.504 0.761 0.239
Cu 0.496 0.239 0.761
Cu 0.375 0.640 0.644
Cu 0.625 0.360 0.356
Cu 0.981 0.360 0.644
Cu 0.019 0.640 0.356
Cu 0.000 0.500 0.000
Cu 0.500 0.000 0.500
Cu 0.000 0.000 0.500
Ni 0.500 0.500 0.000


Entry 18:
First-principles (PBE-GGA) data for a relaxed Ac2Cu9Ni crystal, as listed in Alexandria via LeMat-Bulk.

Output
V ... 200.3 Å³/f.u.
Fermi-level density of states ... 5.9 states/eV/f.u.
DFT formation energy ... 127 meV per atom
Calculated density ... 8.99 g cm⁻³
M_tot ... 0.0 μB per cell

abc: 5.263 5.263 8.886
angles: 72.77 72.77 60.00
Fractional positions:
Ac 0.872 0.872 0.385
Ac 0.128 0.128 0.615
Cu 0.667 0.667 0.998
Cu 0.333 0.333 0.002
Cu 0.500 0.500 0.500
Cu 0.425 0.425 0.227
Cu 0.924 0.425 0.227
Cu 0.425 0.924 0.227
Cu 0.575 0.575 0.773
Cu 0.575 0.076 0.773
Cu 0.076 0.575 0.773
Ni 0.000 0.000 0.000


Entry 19:
First-principles (PBE-GGA) data for a relaxed AcCu3Ni crystal, as listed in Alexandria via LeMat-Bulk.

Output
V ... 86.6 Å³/f.u.
Fermi-level density of states ... 3.4 states/eV/f.u.
DFT formation energy ... -72 meV per atom
Calculated density ... 9.14 g cm⁻³
M_tot ... 0.0 μB per cell

abc: 4.981 5.876 6.605
angles: 116.41 90.00 90.00
Fractional positions:
Ac 0.250 0.390 0.780
Ac 0.750 0.610 0.220
Cu 0.250 0.806 0.612
Cu 0.750 0.194 0.388
Cu 0.250 0.357 0.298
Cu 0.750 0.643 0.702
Cu 0.250 0.941 0.298
Cu 0.750 0.059 0.702
Ni 0.000 0.000 0.000
Ni 0.500 0.000 0.000


Entry 20:
First-principles (PBE-GGA) data for a relaxed Ac2CuNi2 crystal, as listed in Alexandria via LeMat-Bulk.

Output
V ... 109.7 Å³/f.u.
Polymorph energy (0 for the lowest one) ... 0.0 kJ per mole of atoms
Fermi-level density of states ... 3.9 states/eV/f.u.
DFT formation energy ... -176 meV per atom
Calculated density ... 9.61 g cm⁻³
M_tot ... 0.0 μB per cell

abc: 5.735 5.636 8.120
angles: 101.93 90.00 120.58
Fractional positions:
Ac 0.513 0.301 0.151
Ac 0.211 0.699 0.349
Ac 0.487 0.699 0.849
Ac 0.789 0.301 0.651
Cu 0.864 0.000 0.250
Cu 0.136 0.000 0.750
Ni 0.740 0.742 0.494
Ni 0.999 0.258 0.006
Ni 0.260 0.258 0.506
Ni 0.001 0.742 0.994